Entry 1:
Here is a relaxed YUIrRh crystal from the Alexandria database. Energies are from GGA-PBE.

Results
Calculated volume = 20.2 A^3/atom
Fermi-level density of states = 4.5 states/eV/f.u.
Calculated total energy = -36.2 eV/f.u.
Formation energy = -0.557 eV per atom

Lattice parameters (Å, degrees): 4.852 4.852 4.852 60.00 60.00 60.00
Site moments in Bohr magnetons follow the coordinates.
Atoms (fractional coordinates):
Ir  0.000  0.000  0.000  -0.12
U  0.750  0.750  0.750  2.23
Y  0.250  0.250  0.250  0.13
Rh  0.500  0.500  0.500  -0.17

***

Entry 2:
Here is a relaxed Rb4Pm3SbO8 crystal from the Alexandria database. Energies are from GGA-PBE.

Results
Calculated volume = 18.7 A^3/atom
Fermi-level density of states = 0.0 states/eV/f.u.
Calculated total energy = -97.8 eV/f.u.
Energy relative to the elements, uncorrected = -217 kJ/mol of atoms

Lattice parameters (Å, degrees): 7.238 7.801 7.238 117.63 120.00 90.00
Atoms (fractional coordinates):
O  0.773  0.319  0.046
O  0.274  0.321  0.547
O  0.773  0.318  0.546
O  0.727  0.681  0.954
O  0.726  0.679  0.453
O  0.227  0.682  0.454
O  0.273  0.319  0.046
O  0.227  0.681  0.954
Rb  0.500  0.000  0.000
Rb  0.000  0.000  0.000
Rb  0.500  0.000  0.500
Rb  0.000  0.000  0.500
Pm  0.500  0.500  0.000
Pm  0.500  0.500  0.500
Pm  0.000  0.500  0.500
Sb  0.000  0.500  0.000

***

Entry 3:
Here is a relaxed YAs4Pt crystal from the Alexandria database. Energies are from GGA-PBE.

Results
Calculated volume = 19.9 A^3/atom
Fermi-level density of states = 3.1 states/eV/f.u.
Calculated total energy = -31.5 eV/f.u.
Formation energy = -0.064 eV per atom

Lattice parameters (Å, degrees): 5.530 5.530 5.530 60.00 60.00 60.00
Atoms (fractional coordinates):
As  0.377  0.377  0.377
As  0.377  0.870  0.377
As  0.377  0.377  0.870
As  0.870  0.377  0.377
Pt  0.750  0.750  0.750
Y  0.000  0.000  0.000

***

Entry 4:
Here is a relaxed ZrBeReBr2 crystal from the Alexandria database. Energies are from GGA-PBE.

Results
Calculated volume = 29.0 A^3/atom
Fermi-level density of states = 3.0 states/eV/f.u.
Calculated total energy = -21.3 eV/f.u.
Energy relative to the elements, uncorrected = 130 kJ/mol of atoms

Lattice parameters (Å, degrees): 5.208 5.339 5.208 90.00 90.00 90.00
Site moments in Bohr magnetons follow the coordinates.
Atoms (fractional coordinates):
Re  0.500  0.500  0.500  4.00
Be  0.000  0.500  0.000  -0.04
Br  0.500  0.000  0.000  0.02
Br  0.000  0.000  0.500  0.04
Zr  0.000  0.000  0.000  -0.34

***

Entry 5:
Here is a relaxed PaNb2Te3 crystal from the Alexandria database. Energies are from GGA-PBE.

Results
Calculated volume = 28.9 A^3/atom
Fermi-level density of states = 6.9 states/eV/f.u.
Calculated total energy = -40.4 eV/f.u.
Energy relative to the elements, uncorrected = -22 kJ/mol of atoms

Lattice parameters (Å, degrees): 3.721 8.731 10.835 91.41 99.89 90.00
Site moments in Bohr magnetons follow the coordinates.
Atoms (fractional coordinates):
Te  0.744  0.762  0.488  0.00
Te  0.421  0.638  0.843  -0.01
Te  0.256  0.238  0.512  0.00
Te  0.579  0.362  0.157  -0.01
Te  0.084  0.834  0.169  0.00
Te  0.916  0.166  0.831  0.00
Pa  0.343  0.943  0.685  0.23
Pa  0.657  0.057  0.315  0.23
Nb  0.293  0.552  0.586  0.00
Nb  0.045  0.139  0.091  0.28
Nb  0.955  0.861  0.909  0.28
Nb  0.707  0.448  0.414  0.00

***

Entry 6:
Here is a relaxed MgIn2Os crystal from the Alexandria database. Energies are from GGA-PBE.

Results
Calculated volume = 20.3 A^3/atom
Fermi-level density of states = 3.3 states/eV/f.u.
Calculated total energy = -16.5 eV/f.u.
Formation energy = 0.449 eV per atom

Lattice parameters (Å, degrees): 3.066 3.066 9.553 90.00 90.00 115.54
Atoms (fractional coordinates):
Mg  0.500  0.500  0.250
Os  0.500  0.500  0.750
In  0.000  0.000  0.980
In  0.000  0.000  0.520

***

Entry 7:
Here is a relaxed CrIn3C crystal from the Alexandria database. Energies are from GGA-PBE.

Results
Calculated volume = 20.0 A^3/atom
Fermi-level density of states = 8.5 states/eV/f.u.
Excess energy over the best structure of this formula in the dataset = 0.0 meV per atom
Calculated total energy = -19.9 eV/f.u.
Formation energy = 1.438 eV per atom

Lattice parameters (Å, degrees): 4.638 4.638 4.638 90.00 90.00 90.00
Site moments in Bohr magnetons follow the coordinates.
Atoms (fractional coordinates):
In  0.000  0.500  0.000  -0.02
In  0.000  0.000  0.500  -0.02
In  0.500  0.000  0.000  0.01
C  0.000  0.000  0.000  0.06
Cr  0.500  0.500  0.500  -0.19

***

Entry 8:
Here is a relaxed Dy2Mg2In crystal from the Alexandria database. Energies are from GGA-PBE.

Results
Calculated volume = 26.5 A^3/atom
Fermi-level density of states = 6.0 states/eV/f.u.
Calculated total energy = -16.1 eV/f.u.
Formation energy = -0.195 eV per atom

Lattice parameters (Å, degrees): 5.190 5.190 8.266 51.09 51.09 59.95
Atoms (fractional coordinates):
Mg  0.630  0.630  0.556
Mg  0.370  0.370  0.444
Dy  0.206  0.206  0.191
Dy  0.794  0.794  0.809
In  0.000  0.000  0.000

***

Entry 9:
Here is a relaxed TaMo crystal from the Alexandria database. Energies are from GGA-PBE.

Results
Calculated volume = 17.0 A^3/atom
Fermi-level density of states = 1.2 states/eV/f.u.
Calculated total energy = -22.9 eV/f.u.
Formation energy = -0.095 eV per atom

Lattice parameters (Å, degrees): 4.532 2.855 7.862 88.83 90.00 90.00
Atoms (fractional coordinates):
Ta  0.000  0.000  0.000
Ta  0.500  0.345  0.175
Ta  0.500  0.655  0.825
Mo  0.500  0.000  0.500
Mo  0.000  0.670  0.340
Mo  0.000  0.330  0.660

***

Entry 10:
Here is a relaxed Na2Ta2TiS6 crystal from the Alexandria database. Energies are from GGA-PBE.

Results
Calculated volume = 20.0 A^3/atom
Fermi-level density of states = 4.3 states/eV/f.u.
Calculated total energy = -72.1 eV/f.u.
Energy relative to the elements, uncorrected = -115 kJ/mol of atoms

Lattice parameters (Å, degrees): 6.007 6.007 7.249 96.99 96.99 119.73
Atoms (fractional coordinates):
S  0.057  0.395  0.702
S  0.252  0.252  0.272
S  0.943  0.605  0.298
S  0.748  0.748  0.728
S  0.605  0.943  0.298
S  0.395  0.057  0.702
Ta  0.359  0.641  0.500
Ta  0.641  0.359  0.500
Na  0.175  0.825  0.000
Na  0.825  0.175  0.000
Ti  0.000  0.000  0.500

***

Entry 11:
Here is a relaxed YHg2Rh crystal from the Alexandria database. Energies are from GGA-PBE.

Results
Calculated volume = 21.8 A^3/atom
Fermi-level density of states = 1.8 states/eV/f.u.
Calculated total energy = -16.3 eV/f.u.
Formation energy = -0.460 eV per atom

Lattice parameters (Å, degrees): 4.536 4.536 9.095 104.72 104.72 89.94
Atoms (fractional coordinates):
Hg  0.144  0.144  0.791
Hg  0.500  0.000  0.500
Hg  0.000  0.500  0.500
Hg  0.856  0.856  0.209
Rh  0.250  0.750  0.000
Rh  0.750  0.250  0.000
Y  0.644  0.644  0.791
Y  0.356  0.356  0.209

***

Entry 12:
Here is a relaxed Pr4NdY10 crystal from the Alexandria database. Energies are from GGA-PBE.

Results
Calculated volume = 34.6 A^3/atom
Fermi-level density of states = 24.5 states/eV/f.u.
Calculated total energy = -83.4 eV/f.u.
Formation energy = 0.340 eV per atom

Lattice parameters (Å, degrees): 10.732 8.784 8.784 68.09 52.35 52.35
Atoms (fractional coordinates):
Nd  0.000  0.000  0.000
Y  0.250  0.500  0.500
Y  0.225  0.324  0.906
Y  0.131  0.094  0.324
Y  0.451  0.094  0.324
Y  0.545  0.324  0.906
Y  0.549  0.906  0.676
Y  0.455  0.676  0.094
Y  0.775  0.676  0.094
Y  0.750  0.500  0.500
Y  0.869  0.906  0.676
Pr  0.334  0.732  0.600
Pr  0.666  0.268  0.400
Pr  0.934  0.400  0.732
Pr  0.066  0.600  0.268

***

Entry 13:
Here is a relaxed RbPm2Ru crystal from the Alexandria database. Energies are from GGA-PBE.

Results
Calculated volume = 35.3 A^3/atom
Fermi-level density of states = 2.9 states/eV/f.u.
Excess energy over the best structure of this formula in the dataset = 0.0 meV per atom
Calculated total energy = -19.6 eV/f.u.
Formation energy = 0.037 eV per atom

Lattice parameters (Å, degrees): 3.551 3.551 11.188 90.00 90.00 90.00
Atoms (fractional coordinates):
Pm  0.000  0.000  0.149
Pm  0.000  0.000  0.851
Ru  0.500  0.500  0.000
Rb  0.500  0.500  0.500